PBE with a Hubbard U Li3FeP2O8, relaxed; magnetic moment = 4.96 μB/f.u.; DOS at the Fermi energy = 0.0000 states/eV/atom; ΔE to the lowest computed polymorph = 0.013 eV per atom
1.0
8.2579 -0.0060 0.0000
-2.2023 8.0250 0.0000
0.0000 0.0000 10.4106
Li Fe P O
12 4 8 32
Cartesian
1.7978 5.2279 6.9055
3.1046 6.7094 3.4686
3.3151 7.2566 8.7718
1.6141 7.7449 6.0065
4.4414 0.2741 0.8012
1.6701 4.6911 1.5772
5.5353 4.7413 3.6895
0.5202 3.2777 8.8948
4.3854 3.3279 6.7825
4.2578 2.7911 1.7001
2.9509 1.3095 8.6740
2.7405 0.7624 3.5665
-1.0912 6.7316 1.6696
7.1467 1.2873 6.8749
0.0713 2.7183 3.5322
5.9842 5.3006 8.7375
1.5127 1.6498 0.9633
5.6937 2.3247 9.3766
5.4868 1.7273 4.2987
0.5687 6.2916 9.5040
0.3618 5.6943 4.1713
4.2352 5.7564 0.9504
4.5428 6.3692 6.1686
1.8204 2.2626 6.1557
4.8618 2.9185 3.5885
0.5912 6.0849 5.6151
3.1908 6.7157 6.8460
4.5914 6.0333 9.8346
0.3524 5.9569 0.6380
1.6245 5.3599 3.3860
4.4473 5.9654 4.7124
1.1937 5.1004 8.7938
-0.6376 4.4465 4.0236
5.6262 5.6114 1.7223
5.2209 5.1882 6.9902
3.5121 4.4297 1.0968
2.5434 3.5893 6.3021
5.4883 7.6078 6.3590
0.4294 2.4075 6.9276
6.6932 3.5724 9.2289
0.8347 2.8308 1.7849
1.6082 2.0536 9.9177
1.4642 1.9856 4.6293
4.4310 2.6590 8.5913
2.8647 1.3033 1.6407
5.7032 2.0620 5.8433
5.4643 1.9341 0.4098
2.6173 1.0849 6.6992
0.5672 0.4112 1.1537
6.9337 1.4530 3.7488
6.4454 1.1205 8.6456
4.6155 0.4537 4.2057
1.4401 7.5652 9.4110
-0.3898 6.8985 3.4403
-0.8782 6.5660 8.9541
3.4382 6.9340 1.4939